# 1
Density functional theory data (PBE-GGA) for crystalline CuNi2GeMo at its relaxed geometry.

Output
Crystal system: tetragonal
Energy of formation from the pure elements, eV/atom: 1.264

Structure (CIF):
```
data_CuNi2GeMo
_chemical_formula_sum 'Cu1 Ni2 Ge1 Mo1'
_cell_length_a 4.484
_cell_length_b 4.819
_cell_length_c 4.484
_cell_angle_alpha 90.00
_cell_angle_beta 90.00
_cell_angle_gamma 90.00
_space_group_name_H-M_alt 'P 1'
_space_group_IT_number 1
_space_group_name_Hall 'P 1'
loop_
_atom_site_label
_atom_site_type_symbol
_atom_site_fract_x
_atom_site_fract_y
_atom_site_fract_z
Cu1 Cu 0.500 0.500 0.500
Mo1 Mo 0.000 0.000 0.000
Ni1 Ni 0.500 0.000 0.000
Ni2 Ni 0.000 0.000 0.500
Ge1 Ge 0.000 0.500 0.000
```



# 2
Density functional theory data (PBE-GGA) for crystalline CuSn2GeMo at its relaxed geometry.

Output
Crystal system: tetragonal
Energy of formation from the pure elements, eV/atom: 1.185

Structure (CIF):
```
data_CuSn2GeMo
_chemical_formula_sum 'Cu1 Sn2 Ge1 Mo1'
_cell_length_a 5.276
_cell_length_b 4.854
_cell_length_c 5.276
_cell_angle_alpha 90.00
_cell_angle_beta 90.00
_cell_angle_gamma 90.00
_space_group_name_H-M_alt 'P 1'
_space_group_IT_number 1
_space_group_name_Hall 'P 1'
loop_
_atom_site_label
_atom_site_type_symbol
_atom_site_fract_x
_atom_site_fract_y
_atom_site_fract_z
Cu1 Cu 0.500 0.500 0.500
Sn1 Sn 0.000 0.000 0.500
Sn2 Sn 0.500 0.000 0.000
Ge1 Ge 0.000 0.000 0.000
Mo1 Mo 0.000 0.500 0.000
```



# 3
Density functional theory data (PBE-GGA) for crystalline CuGe2N3 at its relaxed geometry.

Output
Crystal system: orthorhombic
ΔE_f (raw), meV per atom: 76

Structure (CIF):
```
data_CuGe2N3
_chemical_formula_sum 'Cu2 Ge4 N6'
_cell_length_a 5.534
_cell_length_b 5.534
_cell_length_c 5.220
_cell_angle_alpha 90.00
_cell_angle_beta 90.00
_cell_angle_gamma 120.00
_space_group_name_H-M_alt 'P 1'
_space_group_IT_number 1
_space_group_name_Hall 'P 1'
loop_
_atom_site_label
_atom_site_type_symbol
_atom_site_fract_x
_atom_site_fract_y
_atom_site_fract_z
N1 N 0.630 0.966 0.855
N2 N 0.370 0.335 0.855
N3 N 0.000 0.696 0.891
N4 N 0.000 0.304 0.391
N5 N 0.370 0.034 0.355
N6 N 0.630 0.665 0.355
Cu1 Cu 0.000 0.660 0.504
Cu2 Cu 0.000 0.340 0.004
Ge1 Ge 0.671 0.670 0.992
Ge2 Ge 0.329 0.330 0.492
Ge3 Ge 0.671 0.002 0.492
Ge4 Ge 0.329 0.998 0.992
```